<a>
The following is a DFT calculation (PBE-GGA) of a relaxed structure of AcErRh.

CIF file:
```
data_AcErRh
_symmetry_space_group_name_H-M 'F -4 3 m'
_symmetry_Int_Tables_number 216
_symmetry_space_group_name_Hall 'F -4 2 3'
_cell_length_a 7.1011
_cell_length_b 7.1011
_cell_length_c 7.1011
_cell_angle_alpha 90.00
_cell_angle_beta 90.00
_cell_angle_gamma 90.00
loop_
_atom_site_label
_atom_site_fract_x
_atom_site_fract_y
_atom_site_fract_z
_atom_site_occupancy
Ac1 0.0000 0.0000 0.0000 1
Er1 0.0000 0.0000 0.5000 1
Rh1 0.2500 0.2500 0.2500 1
```



<b>
The following is a DFT calculation (PBE-GGA) of a relaxed structure of AcErRh.

CIF file:
```
data_AcErRh
_symmetry_space_group_name_H-M 'I 4 m m'
_symmetry_Int_Tables_number 107
_symmetry_space_group_name_Hall 'I 4 -2'
_cell_length_a 3.6042
_cell_length_b 3.6042
_cell_length_c 13.0167
_cell_angle_alpha 90.00
_cell_angle_beta 90.00
_cell_angle_gamma 90.00
loop_
_atom_site_label
_atom_site_fract_x
_atom_site_fract_y
_atom_site_fract_z
_atom_site_occupancy
Ac1 0.0000 0.0000 0.0000 1
Er1 0.0000 0.0000 0.2597 1
Rh1 0.0000 0.0000 0.6528 1
```



Stability summary - winner: <b>; margin: 0.007 eV/atom.



<a>
The following is a DFT calculation (PBE-GGA) of a relaxed structure of AcEr2Ru.

CIF file:
```
data_AcEr2Ru
_symmetry_space_group_name_H-M 'P 4/m m m'
_symmetry_Int_Tables_number 123
_symmetry_space_group_name_Hall '-P 4 2'
_cell_length_a 3.4945
_cell_length_b 3.4945
_cell_length_c 9.2371
_cell_angle_alpha 90.00
_cell_angle_beta 90.00
_cell_angle_gamma 90.00
loop_
_atom_site_label
_atom_site_fract_x
_atom_site_fract_y
_atom_site_fract_z
_atom_site_occupancy
Ac1 0.0000 0.0000 0.0000 1
Er1 0.5000 0.5000 0.3275 1
Ru1 0.0000 0.0000 0.5000 1
```



<b>
The following is a DFT calculation (PBE-GGA) of a relaxed structure of AcEr2Ru.

CIF file:
```
data_AcEr2Ru
_symmetry_space_group_name_H-M 'R -3 m'
_symmetry_Int_Tables_number 166
_symmetry_space_group_name_Hall '-R 3 2"'
_cell_length_a 3.7498
_cell_length_b 3.7498
_cell_length_c 32.0713
_cell_angle_alpha 90.00
_cell_angle_beta 90.00
_cell_angle_gamma 120.00
loop_
_atom_site_label
_atom_site_fract_x
_atom_site_fract_y
_atom_site_fract_z
_atom_site_occupancy
Ac1 0.0000 0.0000 0.0000 1
Er1 0.0000 0.0000 0.1155 1
Ru1 0.0000 0.0000 0.5000 1
```



Stability summary - winner: <a>; margin: 0.278 eV/atom.



<a>
The following is a DFT calculation (PBE-GGA) of a relaxed structure of AcErRu.

CIF file:
```
data_AcErRu
_symmetry_space_group_name_H-M 'I 4 m m'
_symmetry_Int_Tables_number 107
_symmetry_space_group_name_Hall 'I 4 -2'
_cell_length_a 3.5372
_cell_length_b 3.5372
_cell_length_c 13.5716
_cell_angle_alpha 90.00
_cell_angle_beta 90.00
_cell_angle_gamma 90.00
loop_
_atom_site_label
_atom_site_fract_x
_atom_site_fract_y
_atom_site_fract_z
_atom_site_occupancy
Ac1 0.0000 0.0000 0.0000 1
Er1 0.0000 0.0000 0.2520 1
Ru1 0.0000 0.0000 0.6420 1
```



<b>
The following is a DFT calculation (PBE-GGA) of a relaxed structure of AcErRu.

CIF file:
```
data_AcErRu
_symmetry_space_group_name_H-M 'F -4 3 m'
_symmetry_Int_Tables_number 216
_symmetry_space_group_name_Hall 'F -4 2 3'
_cell_length_a 7.0312
_cell_length_b 7.0312
_cell_length_c 7.0312
_cell_angle_alpha 90.00
_cell_angle_beta 90.00
_cell_angle_gamma 90.00
loop_
_atom_site_label
_atom_site_fract_x
_atom_site_fract_y
_atom_site_fract_z
_atom_site_occupancy
Ac1 0.0000 0.0000 0.0000 1
Er1 0.0000 0.0000 0.5000 1
Ru1 0.2500 0.2500 0.2500 1
```



<c>
The following is a DFT calculation (PBE-GGA) of a relaxed structure of AcErRu.

CIF file:
```
data_AcErRu
_symmetry_space_group_name_H-M 'P 4/n m m'
_symmetry_Int_Tables_number 129
_cell_length_a 4.7441
_cell_length_b 4.7441
_cell_length_c 7.2708
_cell_angle_alpha 90.00
_cell_angle_beta 90.00
_cell_angle_gamma 90.00
loop_
_symmetry_equiv_pos_as_xyz
'x,y,z'
'-x,-y,-z'
'-y+1/2,x,z'
'y+1/2,-x,-z'
'-x+1/2,-y+1/2,z'
'x+1/2,y+1/2,-z'
'y,-x+1/2,z'
'-y,x+1/2,-z'
'x+1/2,-y,-z'
'-x+1/2,y,z'
'-y,-x,-z'
'y,x,z'
'-x,y+1/2,-z'
'x,-y+1/2,z'
'y+1/2,x+1/2,-z'
'-y+1/2,-x+1/2,z'
loop_
_atom_site_label
_atom_site_fract_x
_atom_site_fract_y
_atom_site_fract_z
_atom_site_occupancy
Ac1 0.2500 0.2500 0.1268 1
Er1 0.2500 0.7500 0.5000 1
Ru1 0.2500 0.2500 0.7299 1
```



Stability summary - winner: <c>; margin: 0.094 eV/atom.